Computed, not measured: a relaxed SmHo5Cu6 crystal at the GGA-PBE level of DFT.

```
SmHo5Cu6
1.0
2.459 -7.390 0.000
2.459 7.390 0.000
0.000 0.000 6.881
Sm Ho Cu
1 5 6
Direct
0.000 0.000 0.000 Sm
0.000 0.000 0.500 Ho
0.332 0.668 0.000 Ho
0.334 0.666 0.500 Ho
0.666 0.334 0.500 Ho
0.668 0.332 0.000 Ho
0.169 0.831 0.252 Cu
0.169 0.831 0.748 Cu
0.500 0.500 0.259 Cu
0.500 0.500 0.741 Cu
0.831 0.169 0.252 Cu
0.831 0.169 0.748 Cu
```

## Properties
formation energy: -253 meV/atom
crystal system: orthorhombic
magnetization: 0.00 μB per formula unit
space-group type: No. 65

=====

Computed, not measured: a relaxed SmHo5Cu4 crystal at the GGA-PBE level of DFT.

```
SmHo5Cu4
1.0
3.454 0.000 0.000
0.000 3.454 0.000
0.000 0.000 19.122
Sm Ho Cu
1 5 4
Direct
0.000 0.000 0.000 Sm
0.500 0.500 0.139 Ho
0.500 0.500 0.318 Ho
0.500 0.500 0.500 Ho
0.500 0.500 0.682 Ho
0.500 0.500 0.861 Ho
0.000 0.000 0.228 Cu
0.000 0.000 0.409 Cu
0.000 0.000 0.591 Cu
0.000 0.000 0.772 Cu
```

## Properties
formation energy: -205 meV/atom
crystal system: tetragonal
magnetization: 0.00 μB per formula unit
space-group type: No. 123

=====

Computed, not measured: a relaxed SmHoCu2 crystal at the GGA-PBE level of DFT.

```
SmHoCu2
1.0
3.791 0.000 0.000
0.000 4.486 0.000
-1.845 0.000 5.193
Sm Ho Cu
1 1 2
Direct
0.000 0.000 0.000 Sm
0.720 0.500 0.437 Ho
0.289 0.000 0.573 Cu
0.426 0.500 0.852 Cu
```

## Properties
formation energy: -231 meV/atom
crystal system: monoclinic
magnetization: 0.00 μB per formula unit
space-group type: No. 6

=====

Computed, not measured: a relaxed SmHoCu crystal at the GGA-PBE level of DFT.

```
SmHoCu
1.0
-1.750 1.750 6.223
1.750 -1.750 6.223
1.750 1.750 -6.223
Sm Ho Cu
1 1 1
Direct
0.000 0.000 0.000 Sm
0.278 0.278 0.000 Ho
0.650 0.650 0.000 Cu
```

## Properties
formation energy: -117 meV/atom
crystal system: tetragonal
magnetization: 0.00 μB per formula unit
space-group type: No. 107